Entry 1:
Below is crystalline BaGaNF2 at its relaxed geometry, with properties calculated at the PBE level.

a b c (Å): 4.4585 4.4585 3.6911
angles (deg): 90.00 90.00 90.00
Fractional coordinates of all 5 atoms:
1 Ba 0.5000 0.5000 0.5000
2 N 0.0000 0.0000 0.5000
3 Ga 0.0000 0.0000 0.0000
4 F 0.0000 0.5000 0.0000
5 F 0.5000 0.0000 0.0000

Values from the calculation:
As for the symmetry: No. 123. The total energy comes out at -5.32 eV per atom. The raw formation energy comes out at -1.917 eV/atom. As for the magnetic moment: 0.0 μB/f.u. The value obtained for the energy above the most stable polymorph in this dataset is 0.0 meV/atom.


Entry 2:
Below is crystalline BaNa2GaF at its relaxed geometry, with properties calculated at the PBE level.

a b c (Å): 4.9289 4.9289 5.5181
angles (deg): 90.00 90.00 90.00
Each line ends with the local moment (μB).
Fractional coordinates of all 5 atoms:
1 Na 0.5000 0.0000 0.0000  0.01
2 Ba 0.0000 0.0000 0.5000  0.14
3 F 0.0000 0.0000 0.0000  0.01
4 Na 0.0000 0.5000 0.0000  0.01
5 Ga 0.5000 0.5000 0.5000  0.20

Values from the calculation:
As for the symmetry: No. 123. The total energy comes out at -2.97 eV per atom. The raw formation energy comes out at -1.080 eV/atom. As for the magnetic moment: 1.1 μB/f.u.


> Among the records above, which one has the highest magnetic moment?

BaNa2GaF